7
Lattice="-3.2794 3.2794 6.5883 3.2794 -3.2794 6.5883 3.2794 3.2794 -6.5883" Properties=species:S:1:pos:R:3 comment="PBE-GGA Ag2GeI4, optimized geometry" total_energy_ev_per_atom=-2.587 mass_density_g_cm3=4.7 crystal_system=tetragonal sg="No. 82" pbc="T T T"
Ag 0.0000 0.0000 0.0000
Ag 0.0000 3.2794 3.2941
Ge 0.0000 0.0000 6.5883
I 1.5544 1.6813 -1.7318
I 4.8776 1.5544 1.7318
I 1.7251 1.5981 4.8565
I -1.5981 1.7251 8.3201